# LaV2Fe2, relaxed, DFT PBE
data_LaV2Fe2
_cell_length_a 4.0432
_cell_length_b 4.0432
_cell_length_c 10.0871
_cell_angle_alpha 90.00
_cell_angle_beta 90.00
_cell_angle_gamma 90.00
_symmetry_space_group_name_H-M 'I 4/m m m'
_symmetry_Int_Tables_number 139
_symmetry_space_group_name_Hall '-I 4 2'
loop_
_atom_site_label
_atom_site_fract_x
_atom_site_fract_y
_atom_site_fract_z
La1 0.0000 0.0000 0.0000
V1 0.0000 0.5000 0.2500
Fe1 0.0000 0.0000 0.3732
# Polymorph energy (0 for the lowest one), eV/f.u.: 0.00
# E_form, eV/atom: 0.024